1 | The following is a DFT calculation (GGA-PBE) of a geometry-optimized Sr2InSnH structure.

a b c (Å): 5.373 5.373 4.625
angles (deg): 90.00 90.00 90.00
Fractional coordinates of all 5 atoms:
1 In 0.500 0.500 0.500
2 Sr 0.000 0.500 0.000
3 Sr 0.500 0.000 0.000
4 H 0.000 0.000 0.000
5 Sn 0.000 0.000 0.500

Computed properties:
SG   P4/mmm (123)
Theoretical density   5.095 g cm⁻³
N(E_F)   1.392 states/eV/cell

2 | The following is a DFT calculation (GGA-PBE) of a geometry-optimized Sr2InSnH structure.

a b c (Å): 5.185 5.185 4.856
angles (deg): 90.00 90.00 90.00
Fractional coordinates of all 5 atoms:
1 Sr 0.500 0.000 0.000
2 Sr 0.000 0.500 0.000
3 Sn 0.500 0.500 0.500
4 H 0.000 0.000 0.000
5 In 0.000 0.000 0.500

Computed properties:
SG   P4/mmm (123)
Theoretical density   5.212 g cm⁻³
N(E_F)   1.834 states/eV/cell

The data favor 2; the next most stable structure lies 51 meV per atom above it.

1 | The following is a DFT calculation (GGA-PBE) of a geometry-optimized TlInSn2H structure.

a b c (Å): 4.700 4.700 5.349
angles (deg): 90.00 90.00 90.00
Fractional coordinates of all 5 atoms:
1 Sn 0.000 0.500 0.000
2 Sn 0.500 0.000 0.000
3 H 0.000 0.000 0.000
4 In 0.500 0.500 0.500
5 Tl 0.000 0.000 0.500

Computed properties:
SG   P4/mmm (123)
Theoretical density   7.837 g cm⁻³
N(E_F)   1.885 states/eV/cell

2 | The following is a DFT calculation (GGA-PBE) of a geometry-optimized TlInSn2H structure.

a b c (Å): 4.764 4.764 5.193
angles (deg): 90.00 90.00 90.00
Fractional coordinates of all 5 atoms:
1 Tl 0.500 0.500 0.500
2 H 0.000 0.000 0.000
3 Sn 0.500 0.000 0.000
4 Sn 0.000 0.500 0.000
5 In 0.000 0.000 0.500

Computed properties:
SG   P4/mmm (123)
Theoretical density   7.858 g cm⁻³
N(E_F)   2.168 states/eV/cell

The data favor 1; the next most stable structure lies 6 meV per atom above it.

1 | The following is a DFT calculation (GGA-PBE) of a geometry-optimized Sr4In2H structure.

a b c (Å): 5.280 5.280 9.425
angles (deg): 106.27 106.27 90.00
Fractional coordinates of all 7 atoms:
1 Sr 0.000 0.500 0.000
2 Sr 0.500 0.000 0.000
3 Sr 0.820 0.820 0.640
4 Sr 0.180 0.180 0.360
5 In 0.375 0.375 0.750
6 In 0.625 0.625 0.250
7 H 0.000 0.000 0.000

Computed properties:
SG   I4/mmm (139)
Theoretical density   3.999 g cm⁻³
N(E_F)   5.734 states/eV/cell

2 | The following is a DFT calculation (GGA-PBE) of a geometry-optimized Sr4In2H structure.

a b c (Å): 7.353 7.618 8.840
angles (deg): 90.00 103.42 90.00
Fractional coordinates of all 14 atoms:
1 Sr 0.064 0.750 0.366
2 Sr 0.454 0.013 0.715
3 Sr 0.546 0.513 0.285
4 Sr 0.936 0.250 0.634
5 Sr 0.546 0.987 0.285
6 Sr 0.156 0.750 0.960
7 Sr 0.844 0.250 0.040
8 Sr 0.454 0.487 0.715
9 H 0.679 0.250 0.768
10 H 0.321 0.750 0.232
11 In 0.296 0.250 0.002
12 In 0.704 0.750 0.998
13 In 0.801 0.750 0.639
14 In 0.199 0.250 0.361

Computed properties:
SG   P2_1/m (11)
Theoretical density   4.007 g cm⁻³
N(E_F)   9.859 states/eV/cell

The data favor 2; the next most stable structure lies 21 meV per atom above it.

1 | The following is a DFT calculation (GGA-PBE) of a geometry-optimized Sr3InH structure.

a b c (Å): 4.091 7.345 11.843
angles (deg): 77.00 89.99 73.85
Fractional coordinates of all 10 atoms:
1 Sr 0.455 0.660 0.718
2 Sr 0.233 0.101 0.341
3 Sr 0.700 0.168 0.642
4 Sr 0.988 0.592 0.417
5 Sr 0.513 0.542 0.126
6 Sr 0.175 0.219 0.934
7 In 0.872 0.824 0.909
8 In 0.816 0.936 0.150
9 H 0.605 0.359 0.350
10 H 0.084 0.402 0.709

Computed properties:
SG   C2/m (12)
Theoretical density   3.784 g cm⁻³
N(E_F)   5.155 states/eV/cell

2 | The following is a DFT calculation (GGA-PBE) of a geometry-optimized Sr3InH structure.

a b c (Å): 4.312 7.786 10.736
angles (deg): 90.00 90.00 106.07
Fractional coordinates of all 10 atoms:
1 Sr 0.546 0.593 0.250
2 Sr 0.454 0.407 0.750
3 Sr 0.144 0.788 0.568
4 Sr 0.144 0.788 0.932
5 Sr 0.856 0.212 0.432
6 Sr 0.856 0.212 0.068
7 H 0.961 0.422 0.250
8 H 0.039 0.578 0.750
9 In 0.772 0.043 0.750
10 In 0.228 0.957 0.250

Computed properties:
SG   Cmcm (63)
Theoretical density   3.631 g cm⁻³
N(E_F)   9.290 states/eV/cell

3 | The following is a DFT calculation (GGA-PBE) of a geometry-optimized Sr3InH structure.

a b c (Å): 5.350 5.350 5.350
angles (deg): 90.00 90.00 90.00
Fractional coordinates of all 5 atoms:
1 Sr 0.500 0.000 0.000
2 Sr 0.000 0.000 0.500
3 Sr 0.000 0.500 0.000
4 In 0.500 0.500 0.500
5 H 0.000 0.000 0.000

Computed properties:
SG   Pm-3m (221)
Theoretical density   4.107 g cm⁻³
N(E_F)   2.362 states/eV/cell

The data favor 2; the next most stable structure lies 22 meV per atom above it.

1 | The following is a DFT calculation (GGA-PBE) of a geometry-optimized TaInH structure.

a b c (Å): 4.703 3.251 3.251
angles (deg): 120.00 90.00 90.00
Fractional coordinates of all 3 atoms:
1 H 0.150 0.000 0.000
2 In 0.673 0.667 0.333
3 Ta 0.177 0.333 0.667

Computed properties:
SG   P3m1 (156)
Theoretical density   11.445 g cm⁻³
N(E_F)   1.275 states/eV/cell

2 | The following is a DFT calculation (GGA-PBE) of a geometry-optimized TaInH structure.

a b c (Å): 3.085 3.410 12.256
angles (deg): 65.53 93.98 56.49
Fractional coordinates of all 6 atoms:
1 In 0.769 0.577 0.354
2 In 0.610 0.074 0.079
3 H 0.603 0.872 0.881
4 H 0.776 0.779 0.552
5 Ta 0.566 0.306 0.604
6 Ta 0.813 0.345 0.829

Computed properties:
SG   P-1 (2)
Theoretical density   10.953 g cm⁻³
N(E_F)   2.126 states/eV/cell

The data favor 2; the next most stable structure lies 34 meV per atom above it.

1 | The following is a DFT calculation (GGA-PBE) of a geometry-optimized TaIn2H structure.

a b c (Å): 4.776 4.776 4.776
angles (deg): 60.00 60.00 60.00
Fractional coordinates of all 4 atoms:
1 Ta 0.500 0.500 0.500
2 H 0.000 0.000 0.000
3 In 0.750 0.750 0.750
4 In 0.250 0.250 0.250

Computed properties:
SG   Fm-3m (225)
Theoretical density   8.874 g cm⁻³
N(E_F)   1.771 states/eV/cell

2 | The following is a DFT calculation (GGA-PBE) of a geometry-optimized TaIn2H structure.

a b c (Å): 6.869 6.869 5.651
angles (deg): 52.57 52.57 90.00
Fractional coordinates of all 8 atoms:
1 In 0.545 0.125 0.250
2 In 0.875 0.795 0.750
3 In 0.375 0.455 0.750
4 In 0.205 0.625 0.250
5 H 0.500 0.500 0.000
6 H 0.250 0.750 0.500
7 Ta 0.750 0.250 0.500
8 Ta 0.000 0.000 0.000

Computed properties:
SG   I-42d (122)
Theoretical density   10.029 g cm⁻³
N(E_F)   3.855 states/eV/cell

The data favor 2; the next most stable structure lies 452 meV per atom above it.

1 | The following is a DFT calculation (GGA-PBE) of a geometry-optimized InTcH3 structure.

a b c (Å): 3.850 3.850 3.850
angles (deg): 90.00 90.00 90.00
Site moments in Bohr magnetons follow the coordinates.
Fractional coordinates of all 5 atoms:
1 H 0.000 0.500 0.000  -0.04
2 H 0.000 0.000 0.500  -0.04
3 H 0.500 0.000 0.000  -0.02
4 Tc 0.500 0.500 0.500  -2.95
5 In 0.000 0.000 0.000  0.04

Computed properties:
SG   Pm-3m (221)
Theoretical density   6.283 g cm⁻³
N(E_F)   1.169 states/eV/cell

2 | The following is a DFT calculation (GGA-PBE) of a geometry-optimized InTcH3 structure.

a b c (Å): 3.590 3.590 3.590
angles (deg): 90.00 90.00 90.00
Fractional coordinates of all 5 atoms:
1 Tc 0.000 0.000 0.000
2 H 0.500 0.000 0.000
3 H 0.000 0.500 0.000
4 H 0.000 0.000 0.500
5 In 0.500 0.500 0.500

Computed properties:
SG   Pm-3m (221)
Theoretical density   7.745 g cm⁻³
N(E_F)   2.574 states/eV/cell

The data favor 2; the next most stable structure lies 962 meV per atom above it.

1 | The following is a DFT calculation (GGA-PBE) of a geometry-optimized In2TcH4 structure.

a b c (Å): 3.496 3.496 7.217
angles (deg): 75.98 75.98 90.00
Fractional coordinates of all 7 atoms:
1 H 0.000 0.500 0.000
2 H 0.129 0.129 0.742
3 H 0.500 0.000 0.000
4 H 0.871 0.871 0.258
5 In 0.647 0.647 0.706
6 In 0.353 0.353 0.294
7 Tc 0.000 0.000 0.000

Computed properties:
SG   I4/mmm (139)
Theoretical density   6.646 g cm⁻³
N(E_F)   3.437 states/eV/cell

2 | The following is a DFT calculation (GGA-PBE) of a geometry-optimized In2TcH4 structure.

a b c (Å): 5.148 4.772 7.933
angles (deg): 90.00 111.97 90.00
Fractional coordinates of all 14 atoms:
1 Tc 0.856 0.250 0.216
2 Tc 0.144 0.750 0.784
3 H 0.218 0.250 0.305
4 H 0.620 0.469 0.247
5 H 0.678 0.250 0.991
6 H 0.620 0.031 0.247
7 H 0.782 0.750 0.695
8 H 0.322 0.750 0.009
9 H 0.380 0.969 0.753
10 H 0.380 0.531 0.753
11 In 0.017 0.750 0.393
12 In 0.764 0.750 0.970
13 In 0.236 0.250 0.030
14 In 0.983 0.250 0.607

Computed properties:
SG   P2_1/m (11)
Theoretical density   6.094 g cm⁻³
N(E_F)   2.720 states/eV/cell

The data favor 2; the next most stable structure lies 170 meV per atom above it.

1 | The following is a DFT calculation (GGA-PBE) of a geometry-optimized InTc3H structure.

a b c (Å): 5.109 5.109 5.109
angles (deg): 90.00 90.00 90.00
Site moments in Bohr magnetons follow the coordinates.
Fractional coordinates of all 5 atoms:
1 Tc 0.000 0.000 0.500  2.75
2 Tc 0.000 0.500 0.000  2.69
3 Tc 0.500 0.000 0.000  2.55
4 H 0.500 0.500 0.500  -0.07
5 In 0.000 0.000 0.000  -0.08

Computed properties:
SG   Pm-3m (221)
Theoretical density   5.103 g cm⁻³
N(E_F)   8.145 states/eV/cell

2 | The following is a DFT calculation (GGA-PBE) of a geometry-optimized InTc3H structure.

a b c (Å): 4.037 4.037 4.037
angles (deg): 90.00 90.00 90.00
Fractional coordinates of all 5 atoms:
1 Tc 0.000 0.000 0.500
2 Tc 0.000 0.500 0.000
3 Tc 0.500 0.000 0.000
4 H 0.000 0.000 0.000
5 In 0.500 0.500 0.500

Computed properties:
SG   Pm-3m (221)
Theoretical density   10.347 g cm⁻³
N(E_F)   6.126 states/eV/cell

The data favor 2; the next most stable structure lies 2592 meV per atom above it.

1 | The following is a DFT calculation (GGA-PBE) of a geometry-optimized Th2InH structure.

a b c (Å): 3.523 3.523 8.900
angles (deg): 78.59 78.59 60.00
Fractional coordinates of all 4 atoms:
1 In 0.500 0.500 0.500
2 Th 0.272 0.272 0.184
3 Th 0.728 0.728 0.816
4 H 0.000 0.000 0.000

Computed properties:
SG   R-3m (166)
Theoretical density   10.339 g cm⁻³
N(E_F)   3.674 states/eV/cell

2 | The following is a DFT calculation (GGA-PBE) of a geometry-optimized Th2InH structure.

a b c (Å): 3.488 3.488 9.054
angles (deg): 78.89 78.89 60.00
Fractional coordinates of all 4 atoms:
1 Th 0.061 0.061 0.816
2 Th 0.272 0.272 0.183
3 H 0.666 0.666 0.001
4 In 0.500 0.500 0.500

Computed properties:
SG   R3m (160)
Theoretical density   10.355 g cm⁻³
N(E_F)   4.497 states/eV/cell

The data favor 1; the next most stable structure lies 31 meV per atom above it.

1 | The following is a DFT calculation (GGA-PBE) of a geometry-optimized Th3InH3 structure.

a b c (Å): 6.226 6.226 9.416
angles (deg): 70.69 70.69 60.00
Fractional coordinates of all 14 atoms:
1 Th 0.768 0.431 0.699
2 Th 0.431 0.102 0.699
3 Th 0.569 0.898 0.301
4 Th 0.898 0.232 0.301
5 Th 0.102 0.768 0.699
6 Th 0.232 0.569 0.301
7 In 0.667 0.667 0.999
8 In 0.333 0.333 0.001
9 H 0.522 0.190 0.432
10 H 0.857 0.522 0.432
11 H 0.478 0.810 0.568
12 H 0.143 0.478 0.568
13 H 0.190 0.857 0.432
14 H 0.810 0.143 0.568

Computed properties:
SG   R-3 (148)
Theoretical density   9.254 g cm⁻³
N(E_F)   12.543 states/eV/cell

2 | The following is a DFT calculation (GGA-PBE) of a geometry-optimized Th3InH3 structure.

a b c (Å): 6.528 6.528 6.528
angles (deg): 90.00 90.00 90.00
Site moments in Bohr magnetons follow the coordinates.
Fractional coordinates of all 14 atoms:
1 H 0.500 0.250 0.000  0.00
2 H 0.500 0.750 0.000  0.00
3 H 0.000 0.500 0.250  0.00
4 H 0.250 0.000 0.500  0.00
5 H 0.750 0.000 0.500  0.00
6 H 0.000 0.500 0.750  0.00
7 Th 0.000 0.750 0.500  0.15
8 Th 0.500 0.000 0.750  0.15
9 Th 0.750 0.500 0.000  0.15
10 Th 0.000 0.250 0.500  0.15
11 Th 0.250 0.500 0.000  0.15
12 Th 0.500 0.000 0.250  0.15
13 In 0.500 0.500 0.500  -0.01
14 In 0.000 0.000 0.000  -0.01

Computed properties:
SG   Pm-3n (223)
Theoretical density   9.716 g cm⁻³
N(E_F)   13.628 states/eV/cell

The data favor 2; the next most stable structure lies 89 meV per atom above it.

1 | The following is a DFT calculation (GGA-PBE) of a geometry-optimized Ti4In2H structure.

a b c (Å): 4.001 4.001 7.906
angles (deg): 75.34 75.34 90.00
Site moments in Bohr magnetons follow the coordinates.
Fractional coordinates of all 7 atoms:
1 Ti 0.000 0.500 0.000  0.38
2 Ti 0.164 0.164 0.673  0.34
3 Ti 0.500 0.000 0.000  0.38
4 Ti 0.836 0.836 0.327  0.34
5 H 0.000 0.000 0.000  0.00
6 In 0.644 0.644 0.712  -0.01
7 In 0.356 0.356 0.288  -0.01

Computed properties:
SG   I4/mmm (139)
Theoretical density   5.931 g cm⁻³
N(E_F)   7.823 states/eV/cell

2 | The following is a DFT calculation (GGA-PBE) of a geometry-optimized Ti4In2H structure.

a b c (Å): 2.923 5.815 8.393
angles (deg): 123.32 90.00 90.00
Fractional coordinates of all 7 atoms:
1 H 0.000 0.193 0.222
2 Ti 0.500 0.314 0.387
3 Ti 0.000 0.271 0.030
4 Ti 0.500 0.817 0.737
5 Ti 0.000 0.811 0.039
6 In 0.500 0.313 0.736
7 In 0.500 0.781 0.349

Computed properties:
SG   Pm (6)
Theoretical density   5.881 g cm⁻³
N(E_F)   8.080 states/eV/cell

The data favor 1; the next most stable structure lies 62 meV per atom above it.